1.
Entry from the Open Quantum Materials Database: a relaxed Y2ErN3 crystal (PBE-GGA).

```
6
Lattice="-2.390 -1.962 1.528 1.354 -0.970 -3.019 6.070 -4.219 4.078" Properties=species:S:1:pos:R:3 pbc="T T T"
N 2.885 -4.430 2.718
Er 3.035 -2.109 2.039
Y 5.158 -4.812 1.890
N 2.149 -2.721 -0.131
N 0.000 0.000 0.000
Y -0.124 -2.339 0.696
```

## Properties
volume = 87 Å³ per cell

=====

2.
Entry from the Open Quantum Materials Database: a relaxed ErZr2N3 crystal (PBE-GGA).

```
6
Lattice="3.294 0.000 0.000 -1.647 2.853 0.000 0.000 0.000 8.096" Properties=species:S:1:pos:R:3 pbc="T T T"
Zr 0.000 1.902 6.790
Er 0.000 0.000 4.048
Zr 1.647 0.951 1.305
N 0.000 1.902 2.622
N 0.000 0.000 0.000
N 1.647 0.951 5.473
```

## Properties
volume = 76 Å³ per cell

=====

3.
Entry from the Open Quantum Materials Database: a relaxed Er2ZrN3 crystal (PBE-GGA).

```
6
Lattice="3.341 0.000 0.000 -1.670 2.893 0.000 0.000 0.000 8.240" Properties=species:S:1:pos:R:3 pbc="T T T"
Zr 0.000 0.000 4.120
Er 0.000 1.929 6.851
Er 1.670 0.964 1.389
N 0.000 1.929 2.833
N 1.670 0.964 5.407
N 0.000 0.000 0.000
```

## Properties
volume = 80 Å³ per cell

=====

4.
Entry from the Open Quantum Materials Database: a relaxed Na2Er crystal (PBE-GGA).

```
12
Lattice="-4.452 4.489 0.863 1.671 -3.809 4.840 7.099 6.524 2.684" Properties=species:S:1:pos:R:3 pbc="T T T"
Na 3.549 3.262 1.342
Na 1.584 1.093 2.484
Na 0.237 1.422 5.244
Na 2.392 -0.751 4.827
Na 2.734 6.112 5.902
Er 3.623 2.628 5.024
Er 6.284 5.073 6.030
Na 0.000 0.000 0.000
Er 0.694 4.577 3.363
Er -1.967 2.132 2.357
Na 1.925 7.955 3.560
Na 4.080 5.782 3.142
```

## Properties
volume = 353 Å³ per cell
distance to the lowest polymorph of the same formula = 0.0 meV per atom

=====

5.
Entry from the Open Quantum Materials Database: a relaxed Na2Er crystal (PBE-GGA).

```
3
Lattice="1.225 -5.059 1.597 -3.048 -2.477 3.770 -3.225 -4.155 -1.406" Properties=species:S:1:pos:R:3 pbc="T T T"
Er 0.000 0.000 0.000
Na -3.786 -8.768 2.971
Na -1.262 -2.923 0.990
```

## Properties
volume = 114 Å³ per cell
distance to the lowest polymorph of the same formula = 552.2 meV per atom

=====

6.
Entry from the Open Quantum Materials Database: a relaxed Na2Er crystal (PBE-GGA).

```
6
Lattice="0.000 4.429 4.429 4.429 0.000 4.429 4.429 4.429 0.000" Properties=species:S:1:pos:R:3 pbc="T T T"
Na 5.536 5.536 5.536
Na 3.322 3.322 5.536
Er 0.000 0.000 0.000
Na 3.322 5.536 3.322
Na 5.536 3.322 3.322
Er 2.214 2.214 2.214
```

## Properties
volume = 174 Å³ per cell
distance to the lowest polymorph of the same formula = 10.4 meV per atom

=====

7.
Entry from the Open Quantum Materials Database: a relaxed NaEr2 crystal (PBE-GGA).

```
6
Lattice="0.000 4.674 4.674 4.674 0.000 4.674 4.674 4.674 0.000" Properties=species:S:1:pos:R:3 pbc="T T T"
Er 3.505 5.842 3.505
Er 3.505 3.505 5.842
Na 2.337 2.337 2.337
Er 5.842 5.842 5.842
Er 5.842 3.505 3.505
Na 0.000 0.000 0.000
```

## Properties
volume = 204 Å³ per cell

=====

8.
Entry from the Open Quantum Materials Database: a relaxed NaEr crystal (PBE-GGA).

```
2
Lattice="0.000 3.533 3.533 3.533 0.000 3.533 3.533 3.533 0.000" Properties=species:S:1:pos:R:3 pbc="T T T"
Er 0.000 0.000 0.000
Na 1.767 1.767 1.767
```

## Properties
volume = 88 Å³ per cell
distance to the lowest polymorph of the same formula = 1270.4 meV per atom

=====

9.
Entry from the Open Quantum Materials Database: a relaxed NaEr crystal (PBE-GGA).

```
2
Lattice="-3.163 1.201 0.525 0.579 -2.262 -2.504 -1.097 -4.596 3.899" Properties=species:S:1:pos:R:3 pbc="T T T"
Er -2.739 -3.401 2.440
Na -0.943 -2.257 -0.519
```

## Properties
volume = 62 Å³ per cell
distance to the lowest polymorph of the same formula = 0.0 meV per atom

=====

10.
Entry from the Open Quantum Materials Database: a relaxed NaEr crystal (PBE-GGA).

```
2
Lattice="1.070 3.104 3.046 -3.152 1.645 2.724 0.031 -1.052 4.353" Properties=species:S:1:pos:R:3 pbc="T T T"
Er 0.000 0.000 0.000
Na -1.025 1.849 5.061
```

## Properties
volume = 64 Å³ per cell
distance to the lowest polymorph of the same formula = 549.8 meV per atom

=====

11.
Entry from the Open Quantum Materials Database: a relaxed NaErNb crystal (PBE-GGA).

```
3
Lattice="-3.250 0.372 3.924 -4.291 2.729 -0.487 -4.524 -2.365 -0.197" Properties=species:S:1:pos:R:3 pbc="T T T"
Nb -9.048 0.552 2.430
Er 0.000 0.000 0.000
Na -6.032 0.368 1.620
```

## Properties
volume = 94 Å³ per cell
distance to the lowest polymorph of the same formula = 0.0 meV per atom

=====

12.
Entry from the Open Quantum Materials Database: a relaxed NaErNb crystal (PBE-GGA).

```
3
Lattice="-0.615 -4.422 -2.499 -0.155 -4.405 2.597 -4.401 -2.577 0.406" Properties=species:S:1:pos:R:3 pbc="T T T"
Na -1.293 -2.851 0.126
Nb -3.878 -8.553 0.378
Er 0.000 0.000 0.000
```

## Properties
volume = 95 Å³ per cell
distance to the lowest polymorph of the same formula = 121.3 meV per atom

=====

13.
Entry from the Open Quantum Materials Database: a relaxed NaNdEr crystal (PBE-GGA).

```
3
Lattice="0.000 3.777 3.777 3.777 0.000 3.777 3.777 3.777 0.000" Properties=species:S:1:pos:R:3 pbc="T T T"
Er 1.889 1.889 1.889
Na 0.000 0.000 0.000
Nd 5.666 5.666 5.666
```

## Properties
volume = 108 Å³ per cell
distance to the lowest polymorph of the same formula = 0.0 meV per atom

=====

14.
Entry from the Open Quantum Materials Database: a relaxed NaErNi crystal (PBE-GGA).

```
3
Lattice="0.000 3.233 3.233 3.233 0.000 3.233 3.233 3.233 0.000" Properties=species:S:1:pos:R:3 pbc="T T T"
Er 1.616 1.616 1.616
Ni 4.849 4.849 4.849
Na 0.000 0.000 0.000
```

## Properties
volume = 68 Å³ per cell

=====

15.
Entry from the Open Quantum Materials Database: a relaxed NaErNiS3 crystal (PBE-GGA).

```
12
Lattice="7.636 0.000 0.000 0.000 3.809 0.000 -2.260 0.000 8.972" Properties=species:S:1:pos:R:3 pbc="T T T"
S 3.531 2.857 2.992
Er 5.374 0.952 3.228
Na 3.878 2.857 6.839
S 5.299 0.952 0.392
Na 1.498 0.952 2.133
Er 0.001 2.857 5.743
S 5.722 0.952 5.885
Ni 1.161 0.952 8.161
S 0.077 2.857 8.580
S 1.845 0.952 5.979
Ni 4.214 2.857 0.811
S -0.346 2.857 3.087
```

## Properties
volume = 261 Å³ per cell

=====

16.
Entry from the Open Quantum Materials Database: a relaxed Na2ErO4 crystal (PBE-GGA).

```
14
Lattice="-5.596 3.513 1.118 1.971 -1.252 -6.282 -2.355 -4.973 3.826" Properties=species:S:1:pos:R:3 pbc="T T T"
O -3.890 -0.001 0.610
Er 0.000 0.000 0.000
O -4.033 -3.104 -0.649
Na -2.093 -2.729 -1.901
O -0.152 -2.355 -3.154
O -2.881 -0.642 -2.609
Na -0.915 -0.243 -3.814
Na -5.876 -0.347 1.799
Er -3.801 0.766 -1.346
O -1.305 -4.817 -1.194
O -1.117 -1.782 0.004
O -5.039 -2.425 2.475
O -2.266 -4.207 1.869
Na -3.078 -2.104 1.240
```

## Properties
volume = 213 Å³ per cell

=====

17.
Entry from the Open Quantum Materials Database: a relaxed NaErPO crystal (PBE-GGA).

```
8
Lattice="3.821 0.000 0.000 0.000 3.821 0.000 0.000 0.000 10.035" Properties=species:S:1:pos:R:3 pbc="T T T"
P 0.000 1.910 7.120
P 1.910 0.000 2.915
Na 0.000 0.000 5.018
O 0.000 0.000 0.000
Er 0.000 1.910 1.106
O 1.910 1.910 0.000
Er 1.910 0.000 8.929
Na 1.910 1.910 5.018
```

## Properties
volume = 147 Å³ per cell
distance to the lowest polymorph of the same formula = 28.3 meV per atom

=====

18.
Entry from the Open Quantum Materials Database: a relaxed NaErPO crystal (PBE-GGA).

```
8
Lattice="3.560 0.000 0.000 0.000 7.871 0.000 0.000 0.000 5.870" Properties=species:S:1:pos:R:3 pbc="T T T"
O 1.780 5.376 5.243
O 1.780 2.496 2.308
Na 1.780 3.349 0.212
Na 1.780 4.522 3.147
Er 0.000 6.467 5.391
P 0.000 6.554 2.385
Er 0.000 1.405 2.456
P 0.000 1.318 5.320
```

## Properties
volume = 164 Å³ per cell
distance to the lowest polymorph of the same formula = 95.6 meV per atom

=====

19.
Entry from the Open Quantum Materials Database: a relaxed NaErPO crystal (PBE-GGA).

```
8
Lattice="-2.793 -1.111 2.646 4.398 -0.181 4.566 -1.001 5.317 1.175" Properties=species:S:1:pos:R:3 pbc="T T T"
O 4.079 1.493 4.933
P -0.011 3.669 4.560
P 0.490 1.011 3.972
Er 0.579 2.951 1.850
Na 1.892 2.283 5.986
Na -0.916 -0.239 1.963
Er 3.190 0.206 3.454
O -0.813 4.332 0.961
```

## Properties
volume = 141 Å³ per cell
distance to the lowest polymorph of the same formula = 0.0 meV per atom

=====

20.
Entry from the Open Quantum Materials Database: a relaxed NaErPO crystal (PBE-GGA).

```
8
Lattice="-5.200 0.342 1.655 -0.639 -5.355 -0.899 1.399 -0.937 4.589" Properties=species:S:1:pos:R:3 pbc="T T T"
P -1.909 -0.292 3.095
Na -1.208 -0.761 5.391
O 0.000 0.000 0.000
Er -2.220 -2.975 2.672
Er 0.700 -0.469 2.294
Na -0.312 -2.683 -0.424
O -2.919 -2.506 0.378
P 0.389 -3.152 1.872
```

## Properties
volume = 146 Å³ per cell
distance to the lowest polymorph of the same formula = 431.3 meV per atom

=====

21.
Entry from the Open Quantum Materials Database: a relaxed NaErS2O8 crystal (PBE-GGA).

```
24
Lattice="-3.848 1.889 1.693 1.104 -6.481 6.736 3.746 4.392 3.612" Properties=species:S:1:pos:R:3 pbc="T T T"
O 3.069 -2.296 9.238
O 2.949 0.377 8.321
O 1.659 -1.134 7.078
O -0.237 4.390 4.536
O -1.946 -0.577 3.720
O 0.199 0.908 8.317
Er -0.217 0.597 2.709
O 1.239 -4.590 7.506
O -2.067 2.097 2.804
O -1.617 -3.799 7.259
S 2.821 -0.199 6.945
O -1.622 -1.011 6.121
S -1.818 -0.001 5.096
S -1.372 -3.270 8.609
Na 0.743 2.246 6.127
O 2.619 3.600 4.782
O 2.624 0.811 5.921
Na 0.259 -2.445 5.915
O -0.657 0.935 4.963
O 0.803 -1.108 3.724
O -0.305 -2.261 8.524
Er 1.219 -0.797 9.333
S 2.374 3.070 3.432
O 1.307 2.062 3.518
```

## Properties
volume = 293 Å³ per cell

=====

22.
Entry from the Open Quantum Materials Database: a relaxed NaErTeO crystal (PBE-GGA).

```
16
Lattice="7.356 0.000 -0.084 0.000 7.477 0.000 -0.965 0.000 6.512" Properties=species:S:1:pos:R:3 pbc="T T T"
Te 0.671 0.601 5.569
Te 5.238 4.339 4.116
Na -0.136 5.278 6.275
Er 3.210 0.935 1.816
Er 2.728 2.803 5.072
Te 5.720 6.876 0.860
Er 3.664 4.674 1.357
Na 6.045 1.539 3.409
Te 1.154 3.137 2.313
Na 0.347 5.937 3.019
O 4.230 2.622 0.654
Er 3.181 6.541 4.613
O 2.161 4.854 5.774
Na 6.527 2.199 0.153
O 3.748 1.116 3.911
O 2.644 6.361 2.518
```

## Properties
volume = 358 Å³ per cell
distance to the lowest polymorph of the same formula = 0.0 meV per atom

=====

23.
Entry from the Open Quantum Materials Database: a relaxed NaErTeO crystal (PBE-GGA).

```
8
Lattice="-1.648 -0.382 3.719 3.723 0.196 1.670 -0.829 10.056 0.667" Properties=species:S:1:pos:R:3 pbc="T T T"
O 2.381 0.051 2.182
Er 0.810 8.930 4.643
Na -0.719 4.791 3.540
O -0.305 -0.238 3.206
Er 0.438 0.940 1.413
Te -0.076 7.178 1.826
Na 1.966 5.080 2.515
Te 1.324 2.692 4.229
```

## Properties
volume = 169 Å³ per cell
distance to the lowest polymorph of the same formula = 20.7 meV per atom

=====

24.
Entry from the Open Quantum Materials Database: a relaxed NaErTeO crystal (PBE-GGA).

```
8
Lattice="-0.912 4.214 -1.371 -7.625 -1.440 0.643 0.135 2.031 6.152" Properties=species:S:1:pos:R:3 pbc="T T T"
O -1.260 2.338 0.561
Na -2.077 -0.129 0.984
Er -7.213 0.857 -0.033
Er -1.252 2.986 2.546
Te -5.173 -0.666 1.393
Na -5.445 0.237 4.350
O -7.157 2.227 4.140
Te -2.342 0.872 4.236
```

## Properties
volume = 228 Å³ per cell
distance to the lowest polymorph of the same formula = 146.3 meV per atom

=====

25.
Entry from the Open Quantum Materials Database: a relaxed NaErTeO crystal (PBE-GGA).

```
4
Lattice="1.902 1.098 6.689 -1.902 1.098 6.689 0.000 -2.196 6.689" Properties=species:S:1:pos:R:3 pbc="T T T"
O 0.000 0.000 14.739
Er 0.000 0.000 0.471
Na 0.000 0.000 9.760
Te 0.000 0.000 5.131
```

## Properties
volume = 84 Å³ per cell
distance to the lowest polymorph of the same formula = 262.2 meV per atom

=====

26.
Entry from the Open Quantum Materials Database: a relaxed Na2ErOs2 crystal (PBE-GGA).

```
5
Lattice="-1.733 1.733 10.979 1.733 -1.733 10.979 1.733 1.733 -10.979" Properties=species:S:1:pos:R:3 pbc="T T T"
Os 1.733 0.000 5.490
Er 0.000 0.000 10.979
Os 0.000 1.733 5.490
Na 0.000 0.000 2.876
Na 0.000 0.000 19.083
```

## Properties
volume = 132 Å³ per cell

=====

no.,uncorrected energy (Ha/atom)
1,-0.32338
2,-0.34955
3,-0.32660
4,-0.07525
5,-0.05495
6,-0.07487
7,-0.11127
8,-0.05075
9,-0.09744
10,-0.07723
11,-0.14448
12,-0.14002
13,-0.10143
14,-0.11246
15,-0.19156
16,-0.19181
17,-0.20864
18,-0.20616
19,-0.20968
20,-0.19383
21,-0.24040
22,-0.20407
23,-0.20331
24,-0.19870
25,-0.19444
26,-0.18650